1.
Material: Dy2PuMn2C4
Method: DFT, GGA-PBE
State: optimized geometry

Lattice parameters (Å, degrees): 12.940 3.378 5.933 90.00 111.10 90.00
Space group C2/m (No. 12)
Inequivalent atoms, fractional coordinates:
Dy: 0.137 0.000 0.043
Pu: 0.000 0.000 0.500
Mn: 0.182 0.500 0.489
C: 0.039 0.500 0.255
C: 0.219 0.000 0.692

E_tot, eV per formula unit: -79.44
Energy of formation, meV/atom: -75


2.
Material: Na3H8Os
Method: DFT, GGA-PBE
State: optimized geometry

Lattice parameters (Å, degrees): 5.739 5.739 7.315 90.00 90.00 90.00
Space group I-42m (No. 121)
Inequivalent atoms, fractional coordinates:
Na: 0.000 0.000 0.000
Na: 0.000 0.500 0.250
H: 0.117 0.117 0.690
H: 0.205 0.205 0.442
Os: 0.000 0.000 0.500

E_tot, eV per formula unit: -43.47


3.
Material: Mg2SiAsPt
Method: DFT, GGA-PBE
State: optimized geometry

Lattice parameters (Å, degrees): 4.803 4.803 4.860 90.00 90.00 90.00
Space group P4/mmm (No. 123)
Inequivalent atoms, fractional coordinates:
Mg: 0.000 0.500 0.000
Si: 0.000 0.000 0.500
As: 0.000 0.000 0.000
Pt: 0.500 0.500 0.500

Raw formation energy, eV/atom: 0.44
E_tot, eV per formula unit: -17.10


4.
Material: AcHoZn4
Method: DFT, GGA-PBE
State: optimized geometry

Lattice parameters (Å, degrees): 7.983 7.983 7.983 90.00 90.00 90.00
Space group F-43m (No. 216)
Inequivalent atoms, fractional coordinates:
Ac: 0.000 0.000 0.000
Ho: 0.250 0.250 0.250
Zn: 0.123 0.123 0.623

E_tot, eV per formula unit: -15.35
Energy of formation, meV/atom: -262


5.
Material: Pr2Ga5Pt
Method: DFT, GGA-PBE
State: optimized geometry

Lattice parameters (Å, degrees): 6.211 6.211 9.113 90.00 90.00 90.00
Space group I4mm (No. 107)
Inequivalent atoms, fractional coordinates:
Pr: 0.000 0.500 0.000
Ga: 0.000 0.000 0.474
Ga: 0.212 0.212 0.251
Pt: 0.000 0.000 0.750

E_tot, eV per formula unit: -35.58
Energy of formation, meV/atom: -605


6.
Material: ScCu2I6
Method: DFT, GGA-PBE
State: optimized geometry

Lattice parameters (Å, degrees): 13.878 12.624 7.454 90.00 100.76 90.00
Space group C2/c (No. 15)
Inequivalent atoms, fractional coordinates:
Sc: 0.000 0.099 0.250
Cu: 0.177 0.424 0.323
I: 0.118 0.077 0.618
I: 0.124 0.414 0.630
I: 0.130 0.246 0.144

Raw formation energy, eV/atom: -0.57
E_tot, eV per formula unit: -28.92
Distance to the lowest polymorph of the same formula, meV per atom: 38


7.
Material: KW2Br
Method: DFT, GGA-PBE
State: optimized geometry

Lattice parameters (Å, degrees): 3.309 3.309 8.780 90.00 90.00 90.00
Space group P4mm (No. 99)
Inequivalent atoms, fractional coordinates:
K: 0.000 0.000 0.000
W: 0.000 0.000 0.472
W: 0.500 0.500 0.344
Br: 0.500 0.500 0.753

Raw formation energy, eV/atom: 0.52
E_tot, eV per formula unit: -26.60
Distance to the lowest polymorph of the same formula, meV per atom: 119


8.
Material: Sr6Te5Cl
Method: DFT, GGA-PBE
State: optimized geometry

Lattice parameters (Å, degrees): 8.121 14.066 8.117 90.00 109.41 90.00
Space group C2/m (No. 12)
Inequivalent atoms, fractional coordinates:
Sr: 0.248 0.168 0.248
Sr: 0.249 0.000 0.750
Te: 0.000 0.000 0.000
Te: 0.000 0.167 0.500
Te: 0.000 0.335 0.000
Cl: 0.000 0.500 0.500

Raw formation energy, eV/atom: -1.73
E_tot, eV per formula unit: -48.43


9.
Material: PrHgGe
Method: DFT, GGA-PBE
State: optimized geometry

Lattice parameters (Å, degrees): 10.875 4.495 6.805 90.00 90.00 90.00
Space group Pnma (No. 62)
Inequivalent atoms, fractional coordinates:
Pr: 0.086 0.250 0.226
Hg: 0.141 0.250 0.717
Ge: 0.171 0.750 0.958

E_tot, eV per formula unit: -10.97
Energy of formation, meV/atom: -424


10.
Material: Y2HoSc2
Method: DFT, GGA-PBE
State: optimized geometry

Lattice parameters (Å, degrees): 5.542 6.824 15.660 90.00 90.00 90.00
Space group Imma (No. 74)
Inequivalent atoms, fractional coordinates:
Y: 0.000 0.001 0.188
Ho: 0.000 0.250 0.607
Sc: 0.000 0.250 0.004
Sc: 0.000 0.250 0.382

E_tot, eV per formula unit: -29.42
Distance to the lowest polymorph of the same formula, meV per atom: 48
Energy of formation, meV/atom: 149


11.
Material: TlHgSb
Method: DFT, GGA-PBE
State: optimized geometry

Lattice parameters (Å, degrees): 3.305 5.450 9.627 90.00 90.00 90.00
Space group Imm2 (No. 44)
Inequivalent atoms, fractional coordinates:
Tl: 0.000 0.000 0.000
Hg: 0.000 0.000 0.329
Sb: 0.000 0.000 0.652

Raw formation energy, eV/atom: 0.09
E_tot, eV per formula unit: -6.53


12.
Material: SrNdEuSbO6
Method: DFT, GGA-PBE
State: optimized geometry

Lattice parameters (Å, degrees): 8.560 8.560 8.560 90.00 90.00 90.00
Space group F-43m (No. 216)
Inequivalent atoms, fractional coordinates:
Sr: 0.000 0.000 0.000
Nd: 0.250 0.250 0.250
Eu: 0.000 0.000 0.500
Sb: 0.250 0.250 0.750
O: 0.017 0.250 0.750

Raw formation energy, eV/atom: -2.49
E_tot, eV per formula unit: -75.54
Distance to the lowest polymorph of the same formula, meV per atom: 100